Record 1
The following is a PBE calculation of an optimized crystal structure of Li2InP2Pd5, from Alexandria via LeMat-Bulk.

a b c (Å): 3.456 9.691 9.691
angles (deg): 90.00 90.00 90.00
Positions (direct):
Li (0.000, 0.672, 0.172)
Li (0.000, 0.328, 0.828)
Li (0.000, 0.172, 0.328)
Li (0.000, 0.828, 0.672)
In (0.000, 0.000, 0.000)
In (0.000, 0.500, 0.500)
P (0.000, 0.129, 0.629)
P (0.000, 0.871, 0.371)
P (0.000, 0.629, 0.871)
P (0.000, 0.371, 0.129)
Pd (0.500, 0.212, 0.073)
Pd (0.500, 0.788, 0.927)
Pd (0.500, 0.073, 0.788)
Pd (0.500, 0.712, 0.427)
Pd (0.500, 0.927, 0.212)
Pd (0.500, 0.288, 0.573)
Pd (0.500, 0.573, 0.712)
Pd (0.500, 0.427, 0.288)
Pd (0.500, 0.500, 0.000)
Pd (0.500, 0.000, 0.500)

## Properties
The space-group type is P4/mbm. As for the formation energy: -0.527 eV/atom. Its raw total energy is -4.86 eV per atom.

=====

Record 2
The following is a PBE calculation of an optimized crystal structure of LiInReP2, from Alexandria via LeMat-Bulk.

a b c (Å): 4.944 4.460 4.944
angles (deg): 90.00 90.00 90.00
Positions (direct):
Re (0.500, 0.500, 0.500)
Li (0.000, 0.500, 0.000)
P (0.000, 0.000, 0.500)
P (0.500, 0.000, 0.000)
In (0.000, 0.000, 0.000)

## Properties
The space-group type is P4/mmm. As for the formation energy: 1.682 eV/atom. Its raw total energy is -3.90 eV per atom.

=====

Record 3
The following is a PBE calculation of an optimized crystal structure of Li2InP2Rh5, from Alexandria via LeMat-Bulk.

a b c (Å): 3.266 9.630 9.630
angles (deg): 90.00 90.00 90.00
Positions (direct):
Li (0.000, 0.672, 0.172)
Li (0.000, 0.328, 0.828)
Li (0.000, 0.172, 0.328)
Li (0.000, 0.828, 0.672)
In (0.000, 0.000, 0.000)
In (0.000, 0.500, 0.500)
P (0.000, 0.128, 0.628)
P (0.000, 0.872, 0.372)
P (0.000, 0.628, 0.872)
P (0.000, 0.372, 0.128)
Rh (0.500, 0.216, 0.073)
Rh (0.500, 0.784, 0.927)
Rh (0.500, 0.073, 0.784)
Rh (0.500, 0.716, 0.427)
Rh (0.500, 0.927, 0.216)
Rh (0.500, 0.284, 0.573)
Rh (0.500, 0.573, 0.716)
Rh (0.500, 0.427, 0.284)
Rh (0.500, 0.500, 0.000)
Rh (0.500, 0.000, 0.500)

## Properties
The space-group type is P4/mbm. As for the formation energy: -0.595 eV/atom. Its raw total energy is -6.01 eV per atom.

=====

Record 4
The following is a PBE calculation of an optimized crystal structure of LiInPRu2, from Alexandria via LeMat-Bulk.

a b c (Å): 4.907 4.418 4.907
angles (deg): 90.00 90.00 90.00
Positions (direct):
Ru (0.000, 0.000, 0.500)
Ru (0.500, 0.000, 0.000)
Li (0.000, 0.500, 0.000)
P (0.500, 0.500, 0.500)
In (0.000, 0.000, 0.000)

## Properties
The space-group type is P4/mmm. As for the formation energy: 1.566 eV/atom. Its raw total energy is -4.16 eV per atom.

=====

Record 5
The following is a PBE calculation of an optimized crystal structure of LiInP2Ru, from Alexandria via LeMat-Bulk.

a b c (Å): 5.039 5.078 5.039
angles (deg): 90.00 90.00 90.00
Positions (direct):
Ru (0.000, 0.500, 0.000)
Li (0.500, 0.500, 0.500)
P (0.000, 0.000, 0.500)
P (0.500, 0.000, 0.000)
In (0.000, 0.000, 0.000)

## Properties
The space-group type is P4/mmm. As for the formation energy: 1.276 eV/atom. Its raw total energy is -3.67 eV per atom.

=====

Record 6
The following is a PBE calculation of an optimized crystal structure of Li2InPS4, from Alexandria via LeMat-Bulk.

a b c (Å): 4.004 6.625 6.307
angles (deg): 97.68 105.59 92.39
Positions (direct):
Li (0.549, 0.976, 0.907)
Li (0.407, 0.211, 0.525)
In (0.073, 0.483, 0.971)
P (0.758, 0.708, 0.442)
S (0.541, 0.625, 0.704)
S (0.704, 0.407, 0.245)
S (0.355, 0.841, 0.224)
S (0.000, 0.136, 0.756)

## Properties
The space-group type is P1. The energy relative to the elements, uncorrected comes out at -697 meV per atom. Its raw total energy is -4.26 eV per atom.

=====

Record 7
The following is a PBE calculation of an optimized crystal structure of LiInPSe4, from Alexandria via LeMat-Bulk.

a b c (Å): 8.019 7.794 7.794
angles (deg): 60.99 59.04 59.04
Positions (direct):
Li (0.500, 0.000, 0.500)
Li (0.000, 0.000, 0.500)
In (0.000, 0.000, 0.000)
In (0.000, 0.500, 0.500)
P (0.623, 0.627, 0.127)
P (0.377, 0.373, 0.873)
Se (0.732, 0.757, 0.779)
Se (0.268, 0.721, 0.743)
Se (0.732, 0.279, 0.257)
Se (0.268, 0.243, 0.221)
Se (0.226, 0.760, 0.260)
Se (0.754, 0.760, 0.260)
Se (0.246, 0.240, 0.740)
Se (0.774, 0.240, 0.740)

## Properties
The space-group type is Imma. The energy relative to the elements, uncorrected comes out at -341 meV per atom. Its raw total energy is -3.77 eV per atom.

=====

Record 8
The following is a PBE calculation of an optimized crystal structure of SrLiInP2, from Alexandria via LeMat-Bulk.

a b c (Å): 4.238 6.964 8.839
angles (deg): 98.16 90.00 107.71
Positions (direct):
Sr (0.330, 0.660, 0.320)
Sr (0.670, 0.340, 0.680)
Li (0.679, 0.358, 0.058)
Li (0.321, 0.642, 0.942)
In (0.059, 0.119, 0.188)
In (0.941, 0.881, 0.812)
P (0.362, 0.724, 0.666)
P (0.638, 0.276, 0.334)
P (0.130, 0.261, 0.914)
P (0.870, 0.739, 0.086)

## Properties
The space-group type is C2/m. As for the formation energy: -0.676 eV/atom. Its raw total energy is -4.11 eV per atom.

=====

Record 9
The following is a PBE calculation of an optimized crystal structure of LiPaIn2, from Alexandria via LeMat-Bulk.

a b c (Å): 3.253 3.253 8.276
angles (deg): 90.00 90.00 90.00
Positions (direct):
Pa (0.500, 0.500, 0.500)
Li (0.500, 0.500, 0.000)
In (0.000, 0.000, 0.789)
In (0.000, 0.000, 0.211)

## Properties
For the offset from the most stable computed form, the calculation gives 0.000 eV/atom. The space-group type is P4/mmm. As for the formation energy: -0.148 eV/atom. Its raw total energy is -4.37 eV per atom.

=====

Record 10
The following is a PBE calculation of an optimized crystal structure of LiPaIn, from Alexandria via LeMat-Bulk.

a b c (Å): 3.120 3.120 7.044
angles (deg): 102.79 102.79 90.00
Positions (direct):
Pa (0.002, 0.002, 0.003)
Li (0.683, 0.683, 0.366)
In (0.316, 0.316, 0.631)

## Properties
For the offset from the most stable computed form, the calculation gives 0.164 eV/atom. The space-group type is I4mm. As for the formation energy: 0.075 eV/atom. Its raw total energy is -4.64 eV per atom.

=====

Record 11
The following is a PBE calculation of an optimized crystal structure of Li2PaIn3, from Alexandria via LeMat-Bulk.

a b c (Å): 3.192 3.192 12.491
angles (deg): 90.00 90.00 90.00
Positions (direct):
Li (0.500, 0.500, 0.849)
Li (0.500, 0.500, 0.151)
Pa (0.500, 0.500, 0.500)
In (0.000, 0.000, 0.000)
In (0.000, 0.000, 0.697)
In (0.000, 0.000, 0.303)

## Properties
The space-group type is P4/mmm. As for the formation energy: -0.184 eV/atom. Its raw total energy is -3.77 eV per atom.

=====

Record 12
The following is a PBE calculation of an optimized crystal structure of LiPaIn2, from Alexandria via LeMat-Bulk.

a b c (Å): 4.484 4.637 4.637
angles (deg): 90.00 90.00 90.00
Positions (direct):
Pa (0.500, 0.000, 0.000)
Li (0.500, 0.500, 0.500)
In (0.000, 0.000, 0.500)
In (0.000, 0.500, 0.000)

## Properties
For the offset from the most stable computed form, the calculation gives 0.176 eV/atom. The space-group type is P4/mmm. As for the formation energy: 0.028 eV/atom. Its raw total energy is -4.19 eV per atom.

=====

Record 13
The following is a PBE calculation of an optimized crystal structure of LiPaIn2, from Alexandria via LeMat-Bulk.

a b c (Å): 5.156 5.156 5.156
angles (deg): 60.00 60.00 60.00
Positions (direct):
Pa (0.000, 0.000, 0.000)
Li (0.500, 0.500, 0.500)
In (0.250, 0.250, 0.250)
In (0.750, 0.750, 0.750)

## Properties
For the offset from the most stable computed form, the calculation gives 0.172 eV/atom. The space-group type is Fm-3m. As for the formation energy: 0.024 eV/atom. Its raw total energy is -4.20 eV per atom.